Density functional theory data (PBE-GGA) for a relaxed structure of YFe9B4.

Structure (CIF):
```
data_YFe9B4
_cell_length_a 7.333
_cell_length_b 7.333
_cell_length_c 11.022
_cell_angle_alpha 90.00
_cell_angle_beta 90.00
_cell_angle_gamma 90.00
_symmetry_space_group_name_H-M 'I 4/m'
_symmetry_Int_Tables_number 87
_symmetry_space_group_name_Hall '-I 4'
loop_
_atom_site_label
_atom_site_fract_x
_atom_site_fract_y
_atom_site_fract_z
Y1 0.000 0.000 0.249
Fe1 0.000 0.500 0.000
Fe2 0.084 0.801 0.000
Fe3 0.108 0.808 0.500
Fe4 0.123 0.351 0.322
B1 0.128 0.313 0.136
```

Values from the calculation:
* ΔE_f: -0.17 eV/atom
* Fermi-level density of states: 0.83 states/eV/atom
* total energy: -7.976 eV per atom
* calculated density: 7.11 g cm⁻³

***

Density functional theory data (PBE-GGA) for a relaxed structure of Y2FeB.

Structure (CIF):
```
data_Y2FeB
_cell_length_a 6.973
_cell_length_b 6.973
_cell_length_c 6.581
_cell_angle_alpha 90.00
_cell_angle_beta 90.00
_cell_angle_gamma 90.00
_symmetry_space_group_name_H-M 'I -4 2 d'
_symmetry_Int_Tables_number 122
_symmetry_space_group_name_Hall 'I -4 2bw'
loop_
_atom_site_label
_atom_site_fract_x
_atom_site_fract_y
_atom_site_fract_z
Y1 0.235 0.750 0.125
Fe1 0.000 0.000 0.500
B1 0.000 0.000 0.000
```

Values from the calculation:
* ΔE_f: 0.72 eV/atom
* Fermi-level density of states: 1.88 states/eV/atom
* total energy: -6.294 eV per atom
* calculated density: 5.07 g cm⁻³

***

> Which of these has the highest total energy?

Y2FeB